This record from Alexandria via LeMat-Bulk describes AgP2Au after structural relaxation. The functional is PBE-GGA.

Summary:
As for the crystal system: tetragonal. The total energy is -3.81 eV per atom.

Unit cell a=6.755 b=6.755 c=6.755 alpha=129.95 beta=129.95 gamma=73.48
Sites, in units of the cell vectors:
Ag 0.000 0.000 0.000
Ag 0.750 0.250 0.500
P 0.137 0.625 0.012
P 0.375 0.387 0.512
P 0.613 0.125 0.988
P 0.875 0.863 0.488
Au 0.250 0.750 0.500
Au 0.500 0.500 0.000

This record from Alexandria via LeMat-Bulk describes AgP2Au after structural relaxation. The functional is PBE-GGA.

Summary:
As for the crystal system: tetragonal. The total energy is -3.89 eV per atom.

Unit cell a=3.641 b=3.641 c=5.538 alpha=90.00 beta=90.00 gamma=90.00
Sites, in units of the cell vectors:
Ag 0.000 0.000 0.000
P 0.500 0.500 0.306
P 0.500 0.500 0.694
Au 0.000 0.000 0.500

no.,energy of formation from the pure elements (kJ/mol of atoms)
1,41
2,33